A plane-wave DFT calculation with GGA-PBE was carried out for a relaxed MgCdAu crystal.

Symmetry: P2_1/m (11)
E above lowest polymorph (eV per atom): 0.006

Cell lengths 5.1518, 4.9740, 5.1681 Å; angles 90.00, 119.68, 90.00 degrees
With the nearest neighbours (Å) after each atom.
Atoms (fractional coordinates):
Au  0.8378  0.2500  0.2959  5 Mg 2.83-3.02, 5 Cd 2.91-3.12, 2 Au 3.15
Au  0.1622  0.7500  0.7041  5 Mg 2.83-3.02, 5 Cd 2.91-3.12, 2 Au 3.15
Cd  0.5032  0.7500  0.3519  5 Mg 2.89-3.12, 5 Au 2.91-3.12, 2 Cd 2.93
Cd  0.4968  0.2500  0.6481  5 Mg 2.89-3.12, 5 Au 2.91-3.12, 2 Cd 2.93
Mg  0.8314  0.7500  0.0321  5 Au 2.83-3.02, 5 Cd 2.89-3.12, 2 Mg 3.14
Mg  0.1686  0.2500  0.9679  5 Au 2.83-3.02, 5 Cd 2.89-3.12, 2 Mg 3.14

A plane-wave DFT calculation with GGA-PBE was carried out for a relaxed U2Ni2Sn crystal.

Total energy (eV/atom): -7.739
Symmetry: P4/mbm (127)
Total moment (μB/f.u.): 1.91

Cell lengths 6.7435, 6.7435, 4.0828 Å; angles 90.00, 90.00, 90.00 degrees
With the nearest neighbours (Å) after each atom.
Atoms (fractional coordinates):
Ni  0.6401  0.1401  0.0000  2 Sn 2.60, 1 Ni 2.67, 4 U 2.78
Ni  0.1401  0.3599  0.0000  2 Sn 2.60, 1 Ni 2.67, 4 U 2.78
Ni  0.8599  0.6401  0.0000  2 Sn 2.60, 1 Ni 2.67, 4 U 2.78
Ni  0.3599  0.8599  0.0000  2 Sn 2.60, 1 Ni 2.67, 4 U 2.78
Sn  0.0000  0.0000  0.0000  4 Ni 2.60
Sn  0.5000  0.5000  0.0000  4 Ni 2.60
U  0.3600  0.1400  0.5000  1 U 2.67, 6 Ni 2.78-2.93
U  0.8600  0.3600  0.5000  1 U 2.67, 6 Ni 2.78-2.93
U  0.1400  0.6400  0.5000  1 U 2.67, 6 Ni 2.78-2.93
U  0.6400  0.8600  0.5000  1 U 2.67, 6 Ni 2.78-2.93

A plane-wave DFT calculation with GGA-PBE was carried out for a relaxed YTmCu2Ge2 crystal.

Total energy (eV/atom): -5.289
Symmetry: P3m1 (156)
Total moment (μB/f.u.): 0.00

Cell lengths 4.2384, 4.2384, 7.2862 Å; angles 90.00, 90.00, 120.00 degrees
With the nearest neighbours (Å) after each atom.
Atoms (fractional coordinates):
Cu  0.6667  0.3333  0.4820  3 Ge 2.46
Cu  0.3333  0.6667  0.9701  3 Ge 2.47
Ge  0.6667  0.3333  0.0120  3 Cu 2.47
Ge  0.3333  0.6667  0.5202  3 Cu 2.46
Tm  0.0000  0.0000  0.7476  6 Cu 2.94-3.12, 6 Ge 2.96-3.11
Y  0.0000  0.0000  0.2471  6 Cu 2.99-3.17, 6 Ge 2.99-3.15

A plane-wave DFT calculation with GGA-PBE was carried out for a relaxed Be2MoAu crystal.

Total energy (eV/atom): -4.921
Symmetry: F-43m (216)
Total moment (μB/f.u.): 1.94

Cell lengths 4.2731, 4.2731, 4.2731 Å; angles 60.00, 60.00, 60.00 degrees
With the nearest neighbours (Å) after each atom.
Atoms (fractional coordinates):
Au  0.7500  0.7500  0.7500  4 Mo 2.62, 4 Be 2.62
Be  0.0000  0.0000  0.0000  4 Be 2.62, 4 Au 2.62
Be  0.2500  0.2500  0.2500  4 Mo 2.62, 4 Be 2.62
Mo  0.5000  0.5000  0.5000  4 Be 2.62, 4 Au 2.62

Number 1: volume 19.18 Å³/atom. Number 2: volume 18.57 Å³/atom. Number 3: volume 18.89 Å³/atom. Number 4: volume 13.79 Å³/atom.